# Tm5Te4Pt

A relaxed Tm5Te4Pt crystal (PBE-GGA, Alexandria).

a b c (Å): 4.189 4.189 31.292
angles (deg): 90.00 90.00 90.00
Space group I4/mmm (No. 139)
Unique sites:
1 Tm 0.000 0.000 0.000 [2 per cell]
2 Tm 0.000 0.000 0.211 [4 per cell]
3 Tm 0.000 0.000 0.415 [4 per cell]
4 Te 0.000 0.000 0.109 [4 per cell]
5 Te 0.000 0.000 0.309 [4 per cell]
6 Pt 0.000 0.000 0.500 [2 per cell]

Output
M_tot: 0.000 μB per formula unit
formation energy from raw total energies: -1.21 eV per atom
total DFT energy (no corrections): -53.0 eV/f.u.
N(E_F): 13.53 states/eV/cell